{"formula": "Be2TlAu", "functional": "GGA-PBEsol", "state": "relaxed", "lattice_angstrom": [[-0.560, 2.686, -3.231], [0.883, -4.229, -0.888], [-3.109, -2.458, -1.505]], "species": ["Be", "Be", "Tl", "Au"], "fractional_positions": [[0.250, 0.500, 0.250], [0.750, 0.500, 0.750], [0.500, 0.000, 0.500], [0.000, 0.000, 0.000]], "relative_energy_ev_per_atom": 0.2825, "ef_ev_per_atom": 0.41, "mass_density_g_cm3": 11.98, "e_tot_ev_per_cell": -12.93}



{"formula": "Be2TlAu2", "functional": "GGA-PBEsol", "state": "relaxed", "lattice_angstrom": [[3.523, 0.000, 0.000], [0.000, 3.523, 0.000], [-1.761, -1.761, 6.436]], "species": ["Be", "Be", "Tl", "Au", "Au"], "fractional_positions": [[0.250, 0.750, 0.500], [0.750, 0.250, 0.500], [0.000, 0.000, 0.000], [0.369, 0.369, 0.738], [0.631, 0.631, 0.262]], "ef_ev_per_atom": -0.03, "mass_density_g_cm3": 12.81, "e_tot_ev_per_cell": -18.65}



{"formula": "Be2TlAu", "functional": "GGA-PBEsol", "state": "relaxed", "lattice_angstrom": [[4.332, 0.000, 0.000], [0.000, 4.332, 0.000], [-2.166, -2.166, 7.888]], "species": ["Be", "Be", "Be", "Be", "Tl", "Tl", "Au", "Au"], "fractional_positions": [[0.625, 0.375, 0.750], [0.125, 0.375, 0.750], [0.625, 0.875, 0.250], [0.625, 0.375, 0.250], [0.000, 0.000, 0.000], [0.250, 0.750, 0.500], [0.500, 0.500, 0.000], [0.750, 0.250, 0.500]], "relative_energy_ev_per_atom": 0.2490, "ef_ev_per_atom": 0.37, "mass_density_g_cm3": 9.41, "e_tot_ev_per_cell": -26.14}